[1]
An optimized crystal structure of TcAs2Pt. Source: Alexandria, functional PBE-GGA.

Values from the calculation:
As for the density of states at the Fermi level: 9.3 states/eV/cell. As for the energy above the lowest structure with this stoichiometry: 0.500 eV per atom. As for the formation energy: 38.2 kJ per mole of atoms. For the calculated density, the calculation gives 11.2 Mg/m³. The total magnetization is 0.0 μB/cell. Its crystal system is cubic.

a = 6.3992 Å, b = 6.3992 Å, c = 6.3992 Å
α = 90.00°, β = 90.00°, γ = 90.00°
Last column: nearest neighbours and their distance in Å.
Space group F-43m (No. 216)
Unique sites:
Tc  0.0000  0.0000  0.0000 x4  4 As 2.77, 4 Pt 2.77
As  0.0000  0.0000  0.5000 x4  4 As 2.77, 4 Pt 2.77
As  0.2500  0.2500  0.2500 x4  4 As 2.77, 4 Tc 2.77
Pt  0.2500  0.2500  0.7500 x4  4 As 2.77, 4 Tc 2.77

[2]
An optimized crystal structure of Tb2CeTmTe5. Source: Alexandria, functional PBE-GGA.

Values from the calculation:
As for the density of states at the Fermi level: 12.1 states/eV/cell. For the calculated density, the calculation gives 5.9 Mg/m³. The total magnetization is 1.7 μB/cell. As for the formation energy (no corrections): -16.56 kcal/mol of atoms. Its crystal system is tetragonal.

a = 5.4877 Å, b = 5.4877 Å, c = 11.8352 Å
α = 90.00°, β = 90.00°, γ = 90.00°
Last column: nearest neighbours and their distance in Å.
Space group P4/mmm (No. 123)
Unique sites:
Tb  0.0000  0.0000  0.1481 x2  4 Te 3.26, 1 Tb 3.51
Ce  0.5000  0.5000  0.5000 x1  2 Te 3.00
Tm  0.5000  0.5000  0.0000 x1  6 Te 2.74-2.92
Te  0.0000  0.0000  0.5000 x1  4 Ce 3.88, 2 Tb 4.16
Te  0.0000  0.5000  0.0000 x2  2 Tm 2.74
Te  0.5000  0.5000  0.2465 x2  1 Tm 2.92, 1 Ce 3.00

[3]
An optimized crystal structure of SmYCuPd. Source: Alexandria, functional PBE-GGA.

Values from the calculation:
As for the density of states at the Fermi level: 5.6 states/eV/cell. As for the energy above the lowest structure with this stoichiometry: 0.000 eV per atom. As for the formation energy: -54.1 kJ per mole of atoms. For the calculated density, the calculation gives 7.4 Mg/m³. The total magnetization is 0.0 μB/cell. Its crystal system is orthorhombic.

a = 4.5785 Å, b = 3.8013 Å, c = 10.5527 Å
α = 90.00°, β = 90.00°, γ = 90.00°
Last column: nearest neighbours and their distance in Å.
Space group Amm2 (No. 38)
Unique sites:
Sm  0.0000  0.0000  0.0000 x2  3 Cu 2.98-2.99, 4 Pd 3.05
Y  0.5000  0.0000  0.7228 x2  3 Pd 2.95-3.02, 4 Cu 3.04
Cu  0.0000  0.0000  0.2830 x2  2 Pd 2.81, 3 Sm 2.98-2.99, 4 Y 3.04
Pd  0.5000  0.0000  0.4371 x2  2 Cu 2.81, 3 Y 2.95-3.02, 4 Sm 3.05

[4]
An optimized crystal structure of RbYSiS4. Source: Alexandria, functional PBE-GGA.

Values from the calculation:
As for the density of states at the Fermi level: 0.0 states/eV/cell. For the calculated density, the calculation gives 3.0 Mg/m³. The total magnetization is 0.0 μB/cell. As for the formation energy (no corrections): -32.87 kcal/mol of atoms. Its crystal system is monoclinic.

a = 6.4221 Å, b = 6.6728 Å, c = 9.0715 Å
α = 90.00°, β = 107.83°, γ = 90.00°
Last column: nearest neighbours and their distance in Å.
Space group P2_1/m (No. 11)
Unique sites:
Rb  0.2314  0.2500  0.4365 x2  8 S 3.32-3.61
Y  0.2732  0.2500  0.9519 x2  6 S 2.76-2.84
Si  0.2772  0.7500  0.1656 x2  4 S 2.11-2.15
S  0.0761  0.7500  0.9316 x2  1 Si 2.12
S  0.0827  0.7500  0.3158 x2  1 Si 2.11
S  0.4994  0.5015  0.2018 x4  1 Si 2.15

[5]
An optimized crystal structure of Y6Ge2BiSe3. Source: Alexandria, functional PBE-GGA.

Values from the calculation:
As for the density of states at the Fermi level: 4.5 states/eV/cell. For the calculated density, the calculation gives 5.9 Mg/m³. The total magnetization is 0.0 μB/cell. As for the formation energy (no corrections): -31.93 kcal/mol of atoms. Its crystal system is monoclinic.

a = 18.2562 Å, b = 4.1942 Å, c = 8.4209 Å
α = 90.00°, β = 102.73°, γ = 90.00°
Last column: nearest neighbours and their distance in Å.
Space group C2/m (No. 12)
Unique sites:
Y  0.0064  0.0000  0.2651 x4  1 Ge 2.87, 3 Se 2.90-3.04, 2 Bi 3.05
Y  0.1708  0.5000  0.5769 x4  3 Ge 2.88-2.91, 3 Se 3.04
Y  0.1724  0.5000  0.1020 x4  2 Ge 2.89, 3 Se 2.91-3.06, 1 Bi 3.07
Ge  0.1674  0.0000  0.3358 x4  6 Y 2.87-2.91
Bi  0.0000  0.5000  0.0000 x2  6 Y 3.05-3.07
Se  0.0000  0.5000  0.5000 x2  6 Y 2.90-3.04
Se  0.1642  0.0000  0.8342 x4  6 Y 2.91-3.06

[6]
An optimized crystal structure of K3Ac2CeO6. Source: Alexandria, functional PBE-GGA.

Values from the calculation:
As for the density of states at the Fermi level: 2.1 states/eV/cell. For the calculated density, the calculation gives 5.6 Mg/m³. The total magnetization is 1.9 μB/cell. As for the formation energy (no corrections): -59.18 kcal/mol of atoms. Its crystal system is monoclinic.

a = 6.5786 Å, b = 11.4028 Å, c = 6.7173 Å
α = 90.00°, β = 108.95°, γ = 90.00°
Last column: nearest neighbours and their distance in Å.
Space group C2/m (No. 12)
Unique sites:
K  0.0000  0.0000  0.0000 x2  6 O 2.91-3.01
K  0.0000  0.3393  0.0000 x4  6 O 2.87-3.06
Ac  0.0000  0.1669  0.5000 x4  6 O 2.55
Ce  0.0000  0.5000  0.5000 x2  6 O 2.43
O  0.2232  0.3405  0.6916 x8  1 Ce 2.43, 2 Ac 2.55
O  0.2439  0.0000  0.6910 x4  1 Ce 2.43, 2 Ac 2.55

[7]
An optimized crystal structure of MnTe2HPt. Source: Alexandria, functional PBE-GGA.

Values from the calculation:
As for the density of states at the Fermi level: 2.3 states/eV/cell. For the calculated density, the calculation gives 8.4 Mg/m³. The total magnetization is 4.5 μB/cell. As for the raw total energy: -4.88 eV per atom. Its crystal system is tetragonal.

a = 5.4275 Å, b = 5.4275 Å, c = 3.3884 Å
α = 90.00°, β = 90.00°, γ = 90.00°
Last column: nearest neighbours and their distance in Å.
Space group P4/mmm (No. 123)
Unique sites:
Mn  0.0000  0.0000  0.0000 x1  8 Te 3.20, 2 Mn 3.39
Te  0.0000  0.5000  0.5000 x2  2 Pt 2.71
H  0.5000  0.5000  0.0000 x1  2 Pt 1.69
Pt  0.5000  0.5000  0.5000 x1  2 H 1.69

[8]
An optimized crystal structure of In2SeBr. Source: Alexandria, functional PBE-GGA.

Values from the calculation:
As for the density of states at the Fermi level: 8.8 states/eV/cell. As for the energy above the lowest structure with this stoichiometry: 0.044 eV per atom. For the calculated density, the calculation gives 5.3 Mg/m³. The total magnetization is 0.0 μB/cell. As for the formation energy (no corrections): -9.96 kcal/mol of atoms. Its crystal system is trigonal.

a = 4.2148 Å, b = 4.2148 Å, c = 23.7027 Å
α = 90.00°, β = 90.00°, γ = 120.00°
Last column: nearest neighbours and their distance in Å.
Space group R3m (No. 160, hexagonal axes)
Unique sites:
In  0.0000  0.0000  0.0000 x3  3 Se 3.07, 3 Br 3.41
In  0.0000  0.0000  0.1865 x3  3 Se 2.92, 3 Br 3.17
Se  0.0000  0.0000  0.5878 x3  6 In 2.92-3.07
Br  0.0000  0.0000  0.7676 x3  6 In 3.17-3.41

[9]
An optimized crystal structure of PuNbH. Source: Alexandria, functional PBE-GGA.

Values from the calculation:
As for the density of states at the Fermi level: 10.0 states/eV/cell. As for the energy above the lowest structure with this stoichiometry: 0.153 eV per atom. For the calculated density, the calculation gives 11.8 Mg/m³. The total magnetization is 11.2 μB/cell. Its crystal system is tetragonal.

a = 2.9542 Å, b = 2.9542 Å, c = 10.9189 Å
α = 90.00°, β = 90.00°, γ = 90.00°
Last column: nearest neighbours and their distance in Å.
Space group I4mm (No. 107)
Unique sites:
Pu  0.0000  0.0000  0.0000 x2  1 H 2.34
Nb  0.0000  0.0000  0.2727 x2  4 H 2.09
H  0.0000  0.0000  0.7854 x2  4 Nb 2.09, 1 Pu 2.34

[10]
An optimized crystal structure of Mg2In2Bi. Source: Alexandria, functional PBE-GGA.

Values from the calculation:
As for the density of states at the Fermi level: 2.7 states/eV/cell. As for the energy above the lowest structure with this stoichiometry: 0.118 eV per atom. As for the formation energy: 6.6 kJ per mole of atoms. For the calculated density, the calculation gives 6.0 Mg/m³. The total magnetization is 0.0 μB/cell. Its crystal system is tetragonal.

a = 4.5573 Å, b = 4.5573 Å, c = 13.0476 Å
α = 90.00°, β = 90.00°, γ = 90.00°
Last column: nearest neighbours and their distance in Å.
Space group I4/mmm (No. 139)
Unique sites:
Mg  0.0000  0.5000  0.2500 x4  4 In 2.95, 4 Mg 3.22
In  0.0000  0.0000  0.1061 x4  1 In 2.77, 4 Mg 2.95
Bi  0.0000  0.0000  0.5000 x2  8 In 3.51

What did the first record say?
An optimized crystal structure of TcAs2Pt. Source: Alexandria, functional PBE-GGA.

Values from the calculation:
As for the density of states at the Fermi level: 9.3 states/eV/cell. As for the energy above the lowest structure with this stoichiometry: 0.500 eV per atom. As for the formation energy: 38.2 kJ per mole of atoms. For the calculated density, the calculation gives 11.2 Mg/m³. The total magnetization is 0.0 μB/cell. Its crystal system is cubic.

a = 6.3992 Å, b = 6.3992 Å, c = 6.3992 Å
α = 90.00°, β = 90.00°, γ = 90.00°
Last column: nearest neighbours and their distance in Å.
Space group F-43m (No. 216)
Unique sites:
Tc  0.0000  0.0000  0.0000 x4  4 As 2.77, 4 Pt 2.77
As  0.0000  0.0000  0.5000 x4  4 As 2.77, 4 Pt 2.77
As  0.2500  0.2500  0.2500 x4  4 As 2.77, 4 Tc 2.77
Pt  0.2500  0.2500  0.7500 x4  4 As 2.77, 4 Tc 2.77